Entry 1:
PBE La3CeIr, optimized geometry; formation energy from the elements = -0.149 eV per atom; density of states at the Fermi level = 12.0 states/eV per cell
1.0
5.7078 0.0000 0.0000
0.0000 5.7078 0.0000
0.0000 0.0000 5.7078
La Ce Ir
3 1 1
Cartesian
0.0000 0.0000 2.8539
0.0000 2.8539 0.0000
2.8539 0.0000 0.0000
2.8539 2.8539 2.8539
0.0000 0.0000 0.0000

---

Entry 2:
PBE LaCeIr2, optimized geometry; polymorph energy (0 for the lowest one) = 3 meV/atom; formation energy from the elements = -0.736 eV per atom; density of states at the Fermi level = 13.2 states/eV per cell
1.0
5.7293 0.0000 0.0000
0.0000 5.7864 0.0000
-3.0948 0.0000 11.1600
La Ce Ir
4 4 8
Cartesian
0.6652 0.7547 1.5939
-0.8822 5.0317 7.1739
3.5167 0.7547 3.9861
1.9693 5.0317 9.5661
-0.9053 2.1543 9.6207
0.6421 3.6322 4.0407
1.9924 2.1543 7.1192
3.5398 3.6322 1.5393
-0.8934 2.1612 6.6925
0.6541 3.6252 1.1126
0.6552 0.8533 4.6665
-0.8922 4.9331 10.2465
3.5267 0.8533 0.9135
1.9793 4.9331 6.4935
1.9805 2.1612 10.0474
3.5279 3.6252 4.4674

---

Entry 3:
PBE La2CeIr3, optimized geometry; formation energy from the elements = -0.590 eV per atom; density of states at the Fermi level = 5.7 states/eV per cell
1.0
4.1318 0.0000 0.0000
0.0000 5.8600 0.0000
0.0000 0.0000 12.3956
La Ce Ir
4 2 6
Cartesian
0.0000 0.0000 2.0751
0.0000 0.0000 10.3205
2.0659 2.9300 4.1227
2.0659 2.9300 8.2729
0.0000 0.0000 6.1978
2.0659 2.9300 0.0000
0.0000 2.9300 1.8889
0.0000 2.9300 6.1978
0.0000 2.9300 10.5067
2.0659 0.0000 0.0000
2.0659 0.0000 4.3089
2.0659 0.0000 8.0867

---

Entry 4:
PBE La4Ce3Ir2, optimized geometry; formation energy from the elements = -0.363 eV per atom; density of states at the Fermi level = 16.9 states/eV per cell
1.0
8.7835 -1.9196 0.0000
8.7835 1.9196 0.0000
-4.2212 0.0000 8.0326
La Ce Ir
4 3 2
Cartesian
0.5098 0.0000 3.0547
1.1385 0.0000 6.8608
12.2073 0.0000 1.1718
12.8360 0.0000 4.9779
6.0580 0.0000 2.5588
8.7835 0.0000 0.0000
7.2879 0.0000 5.4738
-2.3274 0.0000 7.2669
15.6732 0.0000 0.7657

---

Number 1: E -30.3 eV for the cell shown. Number 2: E -126.1 eV for the cell shown. Number 3: E -91.8 eV for the cell shown. Number 4: E -58.5 eV for the cell shown.